A relaxed Nb3Ru3N crystal, computed with PBE.

Results
Total DFT energy (no corrections) (eV/f.u.): -69.37
Total magnetic moment (μB/f.u.): 0.000
Fermi-level density of states (states/eV per atom): 0.783

abc: 8.329 8.329 8.329
angles: 60.00 60.00 60.00
Positions (direct):
1 Nb 0.067 0.067 0.683
2 Nb 0.067 0.683 0.067
3 Nb 0.067 0.683 0.683
4 Nb 0.317 0.317 0.933
5 Nb 0.317 0.933 0.317
6 Nb 0.317 0.933 0.933
7 Nb 0.683 0.067 0.067
8 Nb 0.683 0.067 0.683
9 Nb 0.683 0.683 0.067
10 Nb 0.933 0.317 0.317
11 Nb 0.933 0.317 0.933
12 Nb 0.933 0.933 0.317
13 Ru 0.000 0.500 0.500
14 Ru 0.293 0.293 0.293
15 Ru 0.293 0.293 0.620
16 Ru 0.293 0.620 0.293
17 Ru 0.380 0.707 0.707
18 Ru 0.500 0.000 0.500
19 Ru 0.500 0.500 0.000
20 Ru 0.500 0.500 0.500
21 Ru 0.620 0.293 0.293
22 Ru 0.707 0.380 0.707
23 Ru 0.707 0.707 0.380
24 Ru 0.707 0.707 0.707
25 N 0.000 0.000 0.000
26 N 0.000 0.000 0.500
27 N 0.000 0.500 0.000
28 N 0.500 0.000 0.000